This record from Alexandria describes a relaxed structure of OsSeF2. The functional is GGA-PBE.

abc: 7.6770 7.6770 5.9094
angles: 49.49 49.49 90.00
With the nearest neighbours (Å) after each atom.
Positions (direct):
F1 0.7653 0.1250 0.2500  2 Os 2.18
F2 0.3750 0.2347 0.7500  2 Os 2.18
F3 0.9847 0.6250 0.2500  2 Os 2.18
F4 0.8750 0.0153 0.7500  2 Os 2.18
Se1 0.5000 0.5000 0.0000  2 Os 2.34
Se2 0.2500 0.7500 0.5000  2 Os 2.34
Os1 0.7500 0.2500 0.5000  4 F 2.18, 2 Se 2.34
Os2 0.0000 0.0000 0.0000  4 F 2.18, 2 Se 2.34

## Properties
**Formation energy without anion corrections**: -0.275 eV/atom
**Density of states at the Fermi level**: 0.95 states/eV/atom